Below is an optimized crystal structure of CoReTeI2, with properties calculated at the PBE-GGA level.

abc: 4.957 4.957 4.910
angles: 90.00 90.00 90.00
Space group P4/mmm (No. 123)
Symmetry-distinct sites (fractional):
Co: 0.000 0.000 0.000 x1
Re: 0.500 0.500 0.500 x1
Te: 0.000 0.000 0.500 x1
I: 0.000 0.500 0.000 x2

Calculated values
mass density = 8.62 Mg/m³
DOS at the Fermi energy = 6.8 states/eV/f.u.
energy relative to the elements, uncorrected = 1565 meV per atom
energy relative to the lowest polymorph listed for this composition = 0.265 eV per atom
magnetization = 0.001 μB per formula unit


Below is an optimized crystal structure of CoReTeI2, with properties calculated at the PBE-GGA level.

abc: 5.621 5.621 5.042
angles: 90.00 90.00 90.00
Space group P4/mmm (No. 123)
Symmetry-distinct sites (fractional):
Co: 0.000 0.000 0.000 x1
Re: 0.500 0.500 0.500 x1
Te: 0.500 0.500 0.000 x1
I: 0.000 0.500 0.500 x2

Calculated values
mass density = 6.53 Mg/m³
DOS at the Fermi energy = 10.7 states/eV/f.u.
energy relative to the elements, uncorrected = 1299 meV per atom
energy relative to the lowest polymorph listed for this composition = 0.000 eV per atom
magnetization = 2.935 μB per formula unit


Below is an optimized crystal structure of Co3RhI, with properties calculated at the PBE-GGA level.

abc: 4.666 4.666 4.666
angles: 90.00 90.00 90.00
Space group Pm-3m (No. 221)
Symmetry-distinct sites (fractional):
Co: 0.000 0.000 0.500 x3
Rh: 0.000 0.000 0.000 x1
I: 0.500 0.500 0.500 x1

Calculated values
mass density = 6.65 Mg/m³
DOS at the Fermi energy = 5.0 states/eV/f.u.
energy relative to the elements, uncorrected = 1248 meV per atom
energy relative to the lowest polymorph listed for this composition = 0.000 eV per atom
magnetization = 7.034 μB per formula unit


Below is an optimized crystal structure of CoRhI3, with properties calculated at the PBE-GGA level.

abc: 5.378 5.378 5.378
angles: 90.00 90.00 90.00
Space group Pm-3m (No. 221)
Symmetry-distinct sites (fractional):
Co: 0.000 0.000 0.000 x1
Rh: 0.500 0.500 0.500 x1
I: 0.000 0.500 0.500 x3

Calculated values
mass density = 5.79 Mg/m³
DOS at the Fermi energy = 19.2 states/eV/f.u.
energy relative to the elements, uncorrected = 803 meV per atom
energy relative to the lowest polymorph listed for this composition = 0.000 eV per atom
magnetization = 2.547 μB per formula unit


Below is an optimized crystal structure of Sm8Co3RhI4, with properties calculated at the PBE-GGA level.

abc: 14.020 8.099 9.288
angles: 90.00 120.14 90.00
Space group C2/m (No. 12)
Symmetry-distinct sites (fractional):
Sm: 0.025 0.243 0.318 x8
Sm: 0.227 0.000 0.680 x4
Sm: 0.232 0.500 0.682 x4
Co: 0.000 0.000 0.500 x2
Co: 0.250 0.250 0.500 x4
Rh: 0.000 0.500 0.500 x2
I: 0.000 0.000 0.000 x2
I: 0.000 0.500 0.000 x2
I: 0.250 0.250 0.000 x4

Calculated values
mass density = 7.25 Mg/m³
DOS at the Fermi energy = 2.8 states/eV/f.u.
energy relative to the elements, uncorrected = -674 meV per atom
magnetization = 0.000 μB per formula unit


Below is an optimized crystal structure of Sm8CoRh3I4, with properties calculated at the PBE-GGA level.

abc: 14.227 8.214 9.351
angles: 90.00 120.48 90.00
Space group C2/m (No. 12)
Symmetry-distinct sites (fractional):
Sm: 0.020 0.242 0.318 x8
Sm: 0.223 0.000 0.682 x4
Sm: 0.228 0.500 0.685 x4
Co: 0.000 0.000 0.500 x2
Rh: 0.000 0.500 0.500 x2
Rh: 0.250 0.250 0.500 x4
I: 0.000 0.000 0.000 x2
I: 0.000 0.500 0.000 x2
I: 0.250 0.250 0.000 x4

Calculated values
mass density = 7.33 Mg/m³
DOS at the Fermi energy = 2.9 states/eV/f.u.
energy relative to the elements, uncorrected = -863 meV per atom
magnetization = 0.000 μB per formula unit


Below is an optimized crystal structure of CoTe2RhI, with properties calculated at the PBE-GGA level.

abc: 4.889 4.889 5.271
angles: 90.00 90.00 90.00
Space group P4/mmm (No. 123)
Symmetry-distinct sites (fractional):
Co: 0.000 0.000 0.000 x1
Te: 0.000 0.500 0.000 x2
Rh: 0.500 0.500 0.500 x1
I: 0.000 0.000 0.500 x1

Calculated values
mass density = 7.17 Mg/m³
DOS at the Fermi energy = 7.4 states/eV/f.u.
energy relative to the elements, uncorrected = 830 meV per atom
energy relative to the lowest polymorph listed for this composition = 0.000 eV per atom
magnetization = 1.072 μB per formula unit


Below is an optimized crystal structure of CoTeRhI2, with properties calculated at the PBE-GGA level.

abc: 5.491 5.491 5.099
angles: 90.00 90.00 90.00
Space group P4/mmm (No. 123)
Symmetry-distinct sites (fractional):
Co: 0.000 0.000 0.000 x1
Te: 0.500 0.500 0.000 x1
Rh: 0.500 0.500 0.500 x1
I: 0.000 0.500 0.500 x2

Calculated values
mass density = 5.87 Mg/m³
DOS at the Fermi energy = 9.8 states/eV/f.u.
energy relative to the elements, uncorrected = 835 meV per atom
energy relative to the lowest polymorph listed for this composition = 0.000 eV per atom
magnetization = 2.680 μB per formula unit